TeS6Cl2 | the Alexandria database | PBE-GGA | relaxed; SG = P-1 (2); total magnetic moment = 0.0 μB per formula unit; formation energy without anion corrections = -0.0288 eV per atom; density = 2.1 g/cm³
1.0
-2.8657 -1.5421 2.4374
-2.8965 -4.7734 -6.9699
6.0950 -5.2499 3.9717
Te S Cl
1 6 2
direct
0.0000 0.0000 0.0000
0.9043 0.6317 0.3694
0.0957 0.3683 0.6306
0.9001 0.5839 0.7169
0.8792 0.2825 0.4168
0.1208 0.7175 0.5832
0.0999 0.4161 0.2831
0.4874 0.8779 0.1240
0.5126 0.1221 0.8760